MnTcF2 | GGA+U | relaxed

a = 7.687 Å, b = 7.687 Å, c = 7.687 Å
α = 20.87°, β = 20.87°, γ = 20.87°
Positions (direct):
F 0.094 0.094 0.094
F 0.906 0.906 0.906
Mn 0.500 0.500 0.500
Tc 0.000 0.000 0.000

Values from the calculation:
The calculation puts the density of states at the Fermi level at 2.6 states/eV/f.u. The space group is R-3m. For the raw total energy, the calculation gives -6.34 eV/atom.